Here is a relaxed structure of Cs2TbScTe4 from the Alexandria database. Energies are from PBE.

a b c (Å): 7.7509 4.4735 9.2475
angles (deg): 90.00 106.19 90.00
Closest atoms and distances in Å follow each position.
Space group P2/m (No. 10)
Asymmetric unit:
Cs: 0.0000 0.0000 0.0000  6 Te 3.85
Cs: 0.5000 0.5000 0.0000  6 Te 3.76-3.77
Tb: 0.0000 0.5000 0.5000  6 Te 3.11-3.12
Sc: 0.5000 0.0000 0.5000  6 Te 3.00-3.02
Te: 0.2402 0.0000 0.6879  1 Sc 3.00, 2 Tb 3.11
Te: 0.2833 0.5000 0.3174  2 Sc 3.02, 1 Tb 3.12

* raw total energy: -35.7 eV per cell